Compound: PtRh2Au
Source: Alexandria via LeMat-Bulk
Functional: PBE
Structure: optimized geometry

abc: 4.463 4.463 4.463
angles: 60.00 60.00 60.00
Element x y z (fractional)
Pt 0.000 0.000 0.000
Rh 0.500 0.500 0.500
Rh 0.750 0.750 0.750
Au 0.250 0.250 0.250

magnetic moment: 0.00 μB/f.u.
formation energy: 270 meV/atom
Fermi-level density of states: 1.68 states/eV per atom

Compound: Ce5Cd2In
Source: Alexandria via LeMat-Bulk
Functional: PBE
Structure: optimized geometry

abc: 6.633 6.633 6.633
angles: 107.22 107.22 114.07
Element x y z (fractional)
Ce 0.000 0.000 0.000
Ce 0.000 0.000 0.500
Ce 0.000 0.500 0.000
Ce 0.500 0.000 0.000
Ce 0.500 0.500 0.500
Cd 0.000 0.500 0.500
Cd 0.500 0.000 0.500
In 0.500 0.500 0.000

magnetic moment: 6.05 μB/f.u.
formation energy: -114 meV/atom
Fermi-level density of states: 3.27 states/eV per atom

Compound: Tb2Pb3
Source: Alexandria via LeMat-Bulk
Functional: PBE
Structure: optimized geometry

abc: 12.275 4.401 11.141
angles: 90.00 90.00 90.00
Element x y z (fractional)
Tb 0.013 0.250 0.241
Tb 0.224 0.250 0.583
Tb 0.276 0.750 0.083
Tb 0.487 0.750 0.741
Tb 0.513 0.250 0.259
Tb 0.724 0.250 0.917
Tb 0.776 0.750 0.417
Tb 0.987 0.750 0.759
Pb 0.078 0.750 0.440
Pb 0.098 0.250 0.946
Pb 0.239 0.750 0.796
Pb 0.261 0.250 0.296
Pb 0.402 0.750 0.446
Pb 0.422 0.250 0.940
Pb 0.578 0.750 0.060
Pb 0.598 0.250 0.554
Pb 0.739 0.750 0.704
Pb 0.761 0.250 0.204
Pb 0.902 0.750 0.054
Pb 0.922 0.250 0.560

magnetic moment: 0.00 μB/f.u.
formation energy: -342 meV/atom
Fermi-level density of states: 0.58 states/eV per atom

Compound: ZrGaAs2
Source: Alexandria via LeMat-Bulk
Functional: PBE
Structure: optimized geometry

abc: 7.177 7.177 7.177
angles: 129.67 129.67 73.94
Element x y z (fractional)
Zr 0.000 0.000 0.000
Zr 0.750 0.250 0.500
Ga 0.250 0.750 0.500
Ga 0.500 0.500 0.000
As 0.139 0.625 0.014
As 0.375 0.389 0.514
As 0.611 0.125 0.986
As 0.875 0.861 0.486

magnetic moment: 0.00 μB/f.u.
formation energy: -283 meV/atom
Fermi-level density of states: 0.92 states/eV per atom

> Which of these has the lowest formation energy?

Tb2Pb3